(1)
A PBEsol-optimized structure of Nd6Nb4Al43, computed with SCAN.

The calculation puts the formation energy at -18.9 eV/f.u.

The space group is P6_3/mcm (No. 193) and the conventional cell measures 11.1055, 11.1055 and 17.9431 Å, with angles of 90.00, 90.00 and 120.00 degrees. The inequivalent atoms are Nd at (0.0000, 0.4706, 0.0955), Nb at (0.0000, 0.0000, 0.0000), Nb at (0.0000, 0.2714, 0.2500), Al at (0.0000, 0.1478, 0.7500), Al at (0.0000, 0.1584, 0.1155), Al at (0.0000, 0.2534, 0.5298), Al at (0.1502, 0.5544, 0.2500), Al at (0.1583, 0.3942, 0.6641), Al at (0.2473, 0.4947, 0.0000) and Al at (0.3333, 0.6667, 0.1260).

---

(2)
A PBEsol-optimized structure of ZnCo4Cu3O12, computed with SCAN.

Its energy relative to the elements, uncorrected is -1.082 eV per atom.

The space group is Im-3 (No. 204) and the conventional cell measures 7.010, 7.010 and 7.010 Å, with angles of 90.00, 90.00 and 90.00 degrees. The inequivalent atoms are Zn at (0.000, 0.000, 0.000), Co at (0.250, 0.250, 0.250), Cu at (0.000, 0.000, 0.500) and O at (0.000, 0.173, 0.301).

---

(3)
A PBEsol-optimized structure of BaSiP2S, computed with SCAN.

Its energy relative to the elements, uncorrected is -0.348 eV per atom.

The space group is P4/mmm (No. 123) and the conventional cell measures 4.623, 4.623 and 4.909 Å, with angles of 90.00, 90.00 and 90.00 degrees. The inequivalent atoms are Ba at (0.000, 0.000, 0.000), Si at (0.500, 0.500, 0.500), P at (0.000, 0.500, 0.500) and S at (0.500, 0.500, 0.000).

---

(4)
A PBEsol-optimized structure of Mn2NiAg, computed with SCAN.

The calculation puts the formation energy at -0.4 eV/f.u.

The space group is Fm-3m (No. 225) and the conventional cell measures 6.033, 6.033 and 6.033 Å, with angles of 90.00, 90.00 and 90.00 degrees. The inequivalent atoms are Mn at (0.250, 0.250, 0.250), Ni at (0.000, 0.000, 0.000) and Ag at (0.000, 0.000, 0.500).

---

(5)
A PBEsol-optimized structure of ZnPt2, computed with SCAN.

The calculation puts the formation energy at -1.3 eV/f.u.

The space group is I4_1/amd (No. 141, origin choice 2) and the conventional cell measures 3.854, 3.854 and 23.281 Å, with angles of 90.00, 90.00 and 90.00 degrees. The inequivalent atoms are Zn at (0.000, 0.250, 0.293), Pt at (0.000, 0.250, 0.124) and Pt at (0.000, 0.250, 0.790).

---

(6)
A PBEsol-optimized structure of KY2Ti2S2O5, computed with SCAN.

Its energy relative to the elements, uncorrected is -3.037 eV per atom.

The space group is P4/mmm (No. 123) and the conventional cell measures 3.687, 3.687 and 14.759 Å, with angles of 90.00, 90.00 and 90.00 degrees. The inequivalent atoms are K at (0.000, 0.000, 0.000), Y at (0.000, 0.000, 0.241), Ti at (0.500, 0.500, 0.378), S at (0.500, 0.500, 0.149), O at (0.000, 0.500, 0.332) and O at (0.500, 0.500, 0.500).

---

(7)
A PBEsol-optimized structure of NiBiRhSe2, computed with SCAN.

Its energy relative to the elements, uncorrected is 0.452 eV per atom.

The space group is P4/mmm (No. 123) and the conventional cell measures 4.822, 4.822 and 4.516 Å, with angles of 90.00, 90.00 and 90.00 degrees. The inequivalent atoms are Ni at (0.000, 0.000, 0.000), Bi at (0.500, 0.500, 0.000), Rh at (0.000, 0.000, 0.500) and Se at (0.000, 0.500, 0.500).

---

(8)
A PBEsol-optimized structure of TcIr2Pt, computed with SCAN.

The calculation puts the formation energy at -0.5 eV/f.u. The calculation puts the offset from the most stable computed form at 0.035 eV/atom.

The space group is I4/mmm (No. 139) and the conventional cell measures 3.842, 3.842 and 7.683 Å, with angles of 90.00, 90.00 and 90.00 degrees. The inequivalent atoms are Tc at (0.000, 0.000, 0.000), Ir at (0.000, 0.500, 0.250) and Pt at (0.000, 0.000, 0.500).